A relaxed SrBeCoSb crystal. Source: the Open Quantum Materials Database, functional PBE.

Values from the calculation:
energy above the most stable polymorph in this dataset = 234 meV per atom
calculated total energy = -14.3 eV per cell
symmetry = F-43m
calculated density = 5.5 g/cm3

Cell: 4.897 4.897 4.897 Å, 60.00 60.00 60.00°
Sites, in units of the cell vectors:
Sr 0.000 0.000 0.000
Be 0.500 0.500 0.500
Co 0.750 0.750 0.750
Sb 0.250 0.250 0.250



A relaxed Dy2YTl2Cd4 crystal. Source: the Open Quantum Materials Database, functional PBE.

Values from the calculation:
calculated total energy = -27.0 eV per cell
symmetry = Amm2
calculated density = 9.4 g/cm3

Cell: 4.560 7.562 7.562 Å, 120.03 90.00 90.00°
Sites, in units of the cell vectors:
Dy 0.000 0.213 0.787
Dy 0.000 0.787 0.213
Y 0.000 0.360 0.360
Tl 0.500 0.120 0.453
Tl 0.500 0.453 0.120
Cd 0.000 0.787 0.787
Cd 0.500 0.027 0.027
Cd 0.500 0.547 0.787
Cd 0.500 0.787 0.547



A relaxed BeGaCoGe crystal. Source: the Open Quantum Materials Database, functional PBE.

Values from the calculation:
energy above the most stable polymorph in this dataset = 0 meV per atom
calculated total energy = -17.7 eV per cell
symmetry = F-43m
calculated density = 7.0 g/cm3

Cell: 4.136 4.136 4.136 Å, 60.00 60.00 60.00°
Sites, in units of the cell vectors:
Be 0.000 0.000 0.000
Ga 0.750 0.750 0.750
Co 0.500 0.500 0.500
Ge 0.250 0.250 0.250



A relaxed Sc2FeB2 crystal. Source: the Open Quantum Materials Database, functional PBE.

Values from the calculation:
calculated total energy = -36.5 eV per cell
symmetry = Cmmm
calculated density = 4.6 g/cm3

Cell: 5.994 5.994 3.362 Å, 90.00 90.00 149.79°
Sites, in units of the cell vectors:
Sc 0.127 0.873 0.000
Sc 0.873 0.127 0.000
Fe 0.500 0.500 0.500
B 0.287 0.713 0.500
B 0.713 0.287 0.500



A relaxed YMgGaFe crystal. Source: the Open Quantum Materials Database, functional PBE.

Values from the calculation:
energy above the most stable polymorph in this dataset = 0 meV per atom
calculated total energy = -19.5 eV per cell
symmetry = F-43m
calculated density = 5.3 g/cm3

Cell: 4.725 4.725 4.725 Å, 60.00 60.00 60.00°
Sites, in units of the cell vectors:
Y 0.000 0.000 0.000
Mg 0.750 0.750 0.750
Ga 0.250 0.250 0.250
Fe 0.500 0.500 0.500



A relaxed BeAlCuAg crystal. Source: the Open Quantum Materials Database, functional PBE.

Values from the calculation:
energy above the most stable polymorph in this dataset = 61 meV per atom
calculated total energy = -13.7 eV per cell
symmetry = F-43m
calculated density = 6.4 g/cm3

Cell: 4.229 4.229 4.229 Å, 60.00 60.00 60.00°
Sites, in units of the cell vectors:
Be 0.000 0.000 0.000
Al 0.250 0.250 0.250
Cu 0.500 0.500 0.500
Ag 0.750 0.750 0.750



A relaxed ErTmNb2Ge2 crystal. Source: the Open Quantum Materials Database, functional PBE.

Values from the calculation:
calculated total energy = -42.3 eV per cell
symmetry = P4mm
calculated density = 8.9 g/cm3

Cell: 4.013 4.013 7.758 Å, 90.00 90.00 90.00°
Sites, in units of the cell vectors:
Er 0.000 0.000 0.000
Tm 0.500 0.500 0.295
Nb 0.000 0.500 0.647
Nb 0.500 0.000 0.647
Ge 0.000 0.000 0.397
Ge 0.500 0.500 0.897



A relaxed Pr2NdN3 crystal. Source: the Open Quantum Materials Database, functional PBE.

Values from the calculation:
calculated total energy = -47.2 eV per cell
symmetry = P-3m1
calculated density = 7.5 g/cm3

Cell: 3.659 3.659 8.966 Å, 90.00 90.00 120.00°
Sites, in units of the cell vectors:
Pr 0.333 0.667 0.333
Pr 0.667 0.333 0.667
Nd 0.000 0.000 0.000
N 0.000 0.000 0.500
N 0.333 0.667 0.835
N 0.667 0.333 0.165